Record 1
# PBE La2Bi2As, optimized geometry
data_La2Bi2As
_symmetry_space_group_name_H-M 'P 4/m b m'
_symmetry_Int_Tables_number 127
_symmetry_space_group_name_Hall '-P 4 2ab'
_cell_length_a 8.4169
_cell_length_b 8.4169
_cell_length_c 4.5178
_cell_angle_alpha 90.00
_cell_angle_beta 90.00
_cell_angle_gamma 90.00
loop_
_atom_site_label
_atom_site_type_symbol
_atom_site_fract_x
_atom_site_fract_y
_atom_site_fract_z
La1 La 0.1585 0.3415 0.0000
Bi1 Bi 0.1523 0.6523 0.5000
As1 As 0.0000 0.0000 0.5000
# energy relative to the elements	-0.643	eV per atom
# offset from the most stable computed form	3.64	kcal/mol of atoms



Record 2
# PBE LaBi3As, optimized geometry
data_LaBi3As
_symmetry_space_group_name_H-M 'P m -3 m'
_symmetry_Int_Tables_number 221
_symmetry_space_group_name_Hall '-P 4 2 3'
_cell_length_a 5.5662
_cell_length_b 5.5662
_cell_length_c 5.5662
_cell_angle_alpha 90.00
_cell_angle_beta 90.00
_cell_angle_gamma 90.00
loop_
_atom_site_label
_atom_site_type_symbol
_atom_site_fract_x
_atom_site_fract_y
_atom_site_fract_z
La1 La 0.0000 0.0000 0.0000
Bi1 Bi 0.0000 0.5000 0.5000
As1 As 0.5000 0.5000 0.5000
# energy relative to the elements	0.037	eV per atom
# offset from the most stable computed form	0.00	kcal/mol of atoms



Record 3
# PBE LaBi2As2, optimized geometry
data_LaBi2As2
_symmetry_space_group_name_H-M 'I 4/m m m'
_symmetry_Int_Tables_number 139
_symmetry_space_group_name_Hall '-I 4 2'
_cell_length_a 4.4459
_cell_length_b 4.4459
_cell_length_c 14.6933
_cell_angle_alpha 90.00
_cell_angle_beta 90.00
_cell_angle_gamma 90.00
loop_
_atom_site_label
_atom_site_type_symbol
_atom_site_fract_x
_atom_site_fract_y
_atom_site_fract_z
La1 La 0.0000 0.0000 0.0000
Bi1 Bi 0.0000 0.5000 0.2500
As1 As 0.0000 0.0000 0.4160
# energy relative to the elements	-0.348	eV per atom
# offset from the most stable computed form	2.64	kcal/mol of atoms



Record 4
# PBE LaBiAs2, optimized geometry
data_LaBiAs2
_symmetry_space_group_name_H-M 'I -4 2 d'
_symmetry_Int_Tables_number 122
_symmetry_space_group_name_Hall 'I -4 2bw'
_cell_length_a 6.6442
_cell_length_b 6.6442
_cell_length_c 13.8590
_cell_angle_alpha 90.00
_cell_angle_beta 90.00
_cell_angle_gamma 90.00
loop_
_atom_site_label
_atom_site_type_symbol
_atom_site_fract_x
_atom_site_fract_y
_atom_site_fract_z
La1 La 0.0000 0.0000 0.0000
Bi1 Bi 0.0000 0.0000 0.5000
As1 As 0.2409 0.2500 0.6250
# energy relative to the elements	-0.416	eV per atom



Record 5
# PBE La8Bi5As, optimized geometry
data_La8Bi5As
_symmetry_space_group_name_H-M 'I -4'
_symmetry_Int_Tables_number 82
_symmetry_space_group_name_Hall 'I -4'
_cell_length_a 9.7400
_cell_length_b 9.7400
_cell_length_c 9.8410
_cell_angle_alpha 90.00
_cell_angle_beta 90.00
_cell_angle_gamma 90.00
loop_
_atom_site_label
_atom_site_type_symbol
_atom_site_fract_x
_atom_site_fract_y
_atom_site_fract_z
La1 La 0.0695 0.1755 0.2986
La2 La 0.0726 0.3021 0.9509
Bi1 Bi 0.0000 0.5000 0.2500
Bi2 Bi 0.1184 0.2548 0.6225
As1 As 0.0000 0.0000 0.0000
# energy relative to the elements	-0.983	eV per atom



Record 6
# PBE La6BiAs5, optimized geometry
data_La6BiAs5
_symmetry_space_group_name_H-M 'C 1 2/m 1'
_symmetry_Int_Tables_number 12
_symmetry_space_group_name_Hall '-C 2y'
_cell_length_a 7.6814
_cell_length_b 13.2951
_cell_length_c 7.6719
_cell_angle_alpha 90.00
_cell_angle_beta 109.52
_cell_angle_gamma 90.00
loop_
_atom_site_label
_atom_site_type_symbol
_atom_site_fract_x
_atom_site_fract_y
_atom_site_fract_z
La1 La 0.2400 0.0000 0.2566
La2 La 0.2416 0.1730 0.7442
Bi1 Bi 0.0000 0.5000 0.0000
As1 As 0.0000 0.0000 0.5000
As2 As 0.0000 0.1669 0.0000
As3 As 0.0000 0.3359 0.5000
# energy relative to the elements	-1.470	eV per atom



Record 7
# PBE LaBi3As, optimized geometry
data_LaBi3As
_symmetry_space_group_name_H-M 'P m -3 m'
_symmetry_Int_Tables_number 221
_symmetry_space_group_name_Hall '-P 4 2 3'
_cell_length_a 6.1684
_cell_length_b 6.1684
_cell_length_c 6.1684
_cell_angle_alpha 90.00
_cell_angle_beta 90.00
_cell_angle_gamma 90.00
loop_
_atom_site_label
_atom_site_type_symbol
_atom_site_fract_x
_atom_site_fract_y
_atom_site_fract_z
La1 La 0.0000 0.0000 0.0000
Bi1 Bi 0.0000 0.0000 0.5000
As1 As 0.5000 0.5000 0.5000
# energy relative to the elements	0.869	eV per atom
# offset from the most stable computed form	19.19	kcal/mol of atoms



Record 8
# PBE La2Bi2As, optimized geometry
data_La2Bi2As
_symmetry_space_group_name_H-M 'P 4/m b m'
_symmetry_Int_Tables_number 127
_symmetry_space_group_name_Hall '-P 4 2ab'
_cell_length_a 8.2110
_cell_length_b 8.2110
_cell_length_c 4.9034
_cell_angle_alpha 90.00
_cell_angle_beta 90.00
_cell_angle_gamma 90.00
loop_
_atom_site_label
_atom_site_type_symbol
_atom_site_fract_x
_atom_site_fract_y
_atom_site_fract_z
La1 La 0.1784 0.3216 0.0000
Bi1 Bi 0.1292 0.6292 0.5000
As1 As 0.0000 0.0000 0.0000
# energy relative to the elements	-0.801	eV per atom
# offset from the most stable computed form	0.00	kcal/mol of atoms